Record 1
The following is a DFT calculation (PBE) of crystalline Na3Sc2BiS6 at its relaxed geometry.

Calculated values
As for the formation energy from raw total energies: -1402 meV per atom.

abc: 6.733 6.733 7.032
angles: 99.25 99.25 120.05
Fractional positions:
Sc (0.668, 0.332, 0.000)
Sc (0.332, 0.668, 0.000)
S (0.428, 0.074, 0.221)
S (0.926, 0.572, 0.779)
S (0.720, 0.720, 0.221)
S (0.572, 0.926, 0.779)
S (0.280, 0.280, 0.779)
S (0.074, 0.428, 0.221)
Na (0.500, 0.500, 0.500)
Na (0.162, 0.838, 0.500)
Na (0.838, 0.162, 0.500)
Bi (0.000, 0.000, 0.000)


Record 2
The following is a DFT calculation (PBE) of crystalline Cs3NaHg at its relaxed geometry.

Calculated values
As for the offset from the most stable computed form: 0 meV per atom. The energy of formation from the pure elements comes out at -9.5 kJ per mole of atoms.

abc: 5.382 11.662 11.414
angles: 90.00 90.11 90.00
Fractional positions:
Cs (0.249, 0.048, 0.331)
Cs (0.249, 0.452, 0.331)
Cs (0.751, 0.548, 0.669)
Cs (0.251, 0.750, 0.010)
Cs (0.749, 0.250, 0.990)
Cs (0.751, 0.952, 0.669)
Na (0.750, 0.750, 0.340)
Na (0.250, 0.250, 0.660)
Hg (0.750, 0.250, 0.492)
Hg (0.250, 0.750, 0.508)


no.,energy (Ry per atom)
1,-0.3803
2,-0.0687